# 1
YHo4Zr | PBE | optimized geometry

Cell: 3.462 7.002 7.714 Å, 103.12 102.95 90.16°
Space group P-1 (No. 2)
Symmetry-distinct sites (fractional):
Y 0.000 0.000 0.000
Ho 0.338 0.180 0.676
Ho 0.340 0.659 0.679
Zr 0.000 0.500 0.000

DFT total energy   -5.494 eV per atom
E_form   0.36 eV per formula unit



# 2
LiPu2Mn | PBE | optimized geometry

Cell: 2.6622 2.6622 32.4083 Å, 90.00 90.00 120.00°
Space group R-3m (No. 166, hexagonal axes)
Symmetry-distinct sites (fractional):
Li 0.0000 0.0000 0.0000
Pu 0.0000 0.0000 0.0892
Mn 0.0000 0.0000 0.5000

DFT total energy   -9.435 eV per atom
E_form   2.01 eV per formula unit



# 3
BaTeSe | PBE | optimized geometry

Cell: 5.1886 5.1886 4.4421 Å, 90.00 90.00 120.00°
Space group P-6m2 (No. 187)
Symmetry-distinct sites (fractional):
Ba 0.0000 0.0000 0.0000
Te 0.3333 0.6667 0.5000
Se 0.6667 0.3333 0.5000

DFT total energy   -3.869 eV per atom
Raw formation energy   -1019 meV per atom